Entry 1:
A geometry-optimized YGaBRu2 structure, computed with GGA-PBE.

## Properties
Fermi-level density of states   0.667 states/eV/atom
Formation energy from the elements   -209 kJ/mol of formula units
Space group   No. 63

a b c (Å): 4.032 5.856 7.375
angles (deg): 90.00 90.00 110.14
Positions (direct):
Y (0.453, 0.907, 0.750)
Y (0.547, 0.093, 0.250)
Ga (0.729, 0.459, 0.750)
Ga (0.271, 0.541, 0.250)
B (0.000, 0.000, 0.000)
B (0.000, 0.000, 0.500)
Ru (0.172, 0.344, 0.941)
Ru (0.828, 0.656, 0.059)
Ru (0.172, 0.344, 0.559)
Ru (0.828, 0.656, 0.441)

=====

Entry 2:
A geometry-optimized BiCl2F2 structure, computed with GGA-PBE.

## Properties
Fermi-level density of states   0.000 states/eV/atom
Formation energy from raw total energies   -570 kJ/mol of formula units
Space group   No. 127

a b c (Å): 6.119 6.119 5.278
angles (deg): 90.00 90.00 90.00
Positions (direct):
F (0.327, 0.827, 0.000)
F (0.827, 0.673, 0.000)
F (0.673, 0.173, 0.000)
F (0.173, 0.327, 0.000)
Bi (0.000, 0.000, 0.000)
Bi (0.500, 0.500, 0.000)
Cl (0.152, 0.652, 0.500)
Cl (0.652, 0.848, 0.500)
Cl (0.848, 0.348, 0.500)
Cl (0.348, 0.152, 0.500)

=====

Entry 3:
A geometry-optimized La4Sn2N structure, computed with GGA-PBE.

## Properties
Fermi-level density of states   0.784 states/eV/atom
Formation energy from raw total energies   -617 kJ/mol of formula units
Space group   No. 139

a b c (Å): 5.007 5.007 9.188
angles (deg): 74.19 74.19 90.00
Positions (direct):
N (0.000, 0.000, 0.000)
Sn (0.360, 0.360, 0.281)
Sn (0.640, 0.640, 0.719)
La (0.164, 0.164, 0.671)
La (0.836, 0.836, 0.329)
La (0.000, 0.500, 0.000)
La (0.500, 0.000, 0.000)

=====

Entry 4:
A geometry-optimized Al2Hg structure, computed with GGA-PBE.

## Properties
Fermi-level density of states   0.487 states/eV/atom
Formation energy from the elements   80 kJ/mol of formula units
Polymorph energy (0 for the lowest one)   169 meV per atom
Space group   No. 141

a b c (Å): 9.469 9.469 9.469
angles (deg): 157.01 157.01 32.74
Positions (direct):
Al (0.573, 0.573, 0.000)
Al (0.177, 0.677, 0.500)
Al (0.427, 0.427, 0.000)
Al (0.323, 0.823, 0.500)
Hg (0.000, 0.000, 0.000)
Hg (0.750, 0.250, 0.500)

=====

Entry 5:
A geometry-optimized SmCuSi2Pd5 structure, computed with GGA-PBE.

## Properties
Fermi-level density of states   0.450 states/eV/atom
Formation energy from raw total energies   -428 kJ/mol of formula units
Space group   No. 123

a b c (Å): 4.674 4.674 7.042
angles (deg): 90.00 90.00 90.00
Positions (direct):
Sm (0.000, 0.000, 0.500)
Cu (0.000, 0.000, 0.000)
Si (0.500, 0.500, 0.159)
Si (0.500, 0.500, 0.841)
Pd (0.000, 0.500, 0.224)
Pd (0.500, 0.000, 0.224)
Pd (0.000, 0.500, 0.776)
Pd (0.500, 0.000, 0.776)
Pd (0.500, 0.500, 0.500)

=====

Entry 6:
A geometry-optimized ZnCd2As structure, computed with GGA-PBE.

## Properties
Fermi-level density of states   0.238 states/eV/atom
Formation energy from the elements   53 kJ/mol of formula units
Polymorph energy (0 for the lowest one)   54 meV per atom
Space group   No. 47

a b c (Å): 3.044 4.189 6.399
angles (deg): 90.00 90.00 90.00
Positions (direct):
As (0.500, 0.500, 0.750)
Cd (0.000, 0.000, 0.009)
Cd (0.000, 0.000, 0.491)
Zn (0.500, 0.500, 0.250)

=====

Entry 7:
A geometry-optimized PmNd2Pd structure, computed with GGA-PBE.

## Properties
Fermi-level density of states   1.159 states/eV/atom
Formation energy from the elements   -97 kJ/mol of formula units
Polymorph energy (0 for the lowest one)   156 meV per atom
Space group   No. 160

a b c (Å): 3.919 3.919 9.844
angles (deg): 78.52 78.52 60.00
Positions (direct):
Pm (0.500, 0.500, 0.500)
Nd (0.064, 0.064, 0.807)
Nd (0.269, 0.269, 0.193)
Pd (0.667, 0.667, 0.000)

=====

Entry 8:
A geometry-optimized HfZnTc structure, computed with GGA-PBE.

## Properties
Fermi-level density of states   0.919 states/eV/atom
Formation energy from the elements   -67 kJ/mol of formula units
Polymorph energy (0 for the lowest one)   0 meV per atom
Space group   No. 107

a b c (Å): 3.387 3.387 4.956
angles (deg): 109.98 109.98 90.00
Positions (direct):
Zn (0.292, 0.292, 0.584)
Hf (0.611, 0.611, 0.222)
Tc (0.947, 0.947, 0.894)

=====

Entry 9:
A geometry-optimized SrTl4Te structure, computed with GGA-PBE.

## Properties
Fermi-level density of states   0.762 states/eV/atom
Formation energy from raw total energies   -104 kJ/mol of formula units
Space group   No. 216

a b c (Å): 6.536 6.536 6.536
angles (deg): 60.00 60.00 60.00
Positions (direct):
Sr (0.750, 0.750, 0.750)
Tl (0.876, 0.375, 0.375)
Tl (0.375, 0.375, 0.876)
Tl (0.375, 0.876, 0.375)
Tl (0.375, 0.375, 0.375)
Te (0.000, 0.000, 0.000)

=====

Entry 10:
A geometry-optimized La6CoGe2Br3 structure, computed with GGA-PBE.

## Properties
Fermi-level density of states   0.740 states/eV/atom
Formation energy from raw total energies   -1223 kJ/mol of formula units
Space group   No. 12

a b c (Å): 7.479 7.479 7.822
angles (deg): 99.83 99.83 118.33
Positions (direct):
La (0.933, 0.630, 0.799)
La (0.747, 0.747, 0.226)
La (0.067, 0.370, 0.201)
La (0.630, 0.933, 0.799)
La (0.253, 0.253, 0.774)
La (0.370, 0.067, 0.201)
Co (0.000, 0.000, 0.000)
Ge (0.335, 0.665, 0.000)
Ge (0.665, 0.335, 0.000)
Br (0.179, 0.821, 0.500)
Br (0.821, 0.179, 0.500)
Br (0.500, 0.500, 0.500)

=====

Entry 11:
A geometry-optimized CdPb5S6 structure, computed with GGA-PBE.

## Properties
Formation energy from raw total energies   -605 kJ/mol of formula units
Space group   No. 12

a b c (Å): 7.273 7.268 7.237
angles (deg): 59.86 80.30 70.40
Positions (direct):
Pb (0.500, 0.164, 0.672)
Pb (0.000, 0.331, 0.337)
Pb (0.500, 0.500, 0.000)
Pb (0.000, 0.669, 0.663)
Pb (0.500, 0.836, 0.328)
S (0.765, 0.078, 0.314)
S (0.235, 0.608, 0.314)
S (0.251, 0.236, 0.000)
S (0.749, 0.764, 0.000)
S (0.765, 0.392, 0.686)
S (0.235, 0.922, 0.686)
Cd (0.000, 0.000, 0.000)

=====

Entry 12:
A geometry-optimized Cs5Na2Au2 structure, computed with GGA-PBE.

## Properties
Fermi-level density of states   0.600 states/eV/atom
Formation energy from the elements   -109 kJ/mol of formula units
Space group   No. 64

a b c (Å): 9.718 9.738 12.076
angles (deg): 90.00 66.27 90.00
Positions (direct):
Cs (0.000, 0.000, 0.000)
Cs (0.500, 0.500, 0.000)
Cs (0.440, 0.173, 0.773)
Cs (0.788, 0.827, 0.773)
Cs (0.288, 0.673, 0.773)
Cs (0.940, 0.327, 0.773)
Cs (0.560, 0.827, 0.227)
Cs (0.212, 0.173, 0.227)
Cs (0.712, 0.327, 0.227)
Cs (0.060, 0.673, 0.227)
Na (0.224, 0.000, 0.551)
Na (0.724, 0.500, 0.551)
Na (0.776, 0.000, 0.449)
Na (0.276, 0.500, 0.449)
Au (0.109, 0.391, 0.000)
Au (0.891, 0.609, 0.000)
Au (0.391, 0.891, 0.000)
Au (0.609, 0.109, 0.000)

=====

| no. | total DFT energy (no corrections) (eV/atom) | spin magnetization (μB per atom) |
| --- | --- | --- |
| 1 | -7.378 | 0.000 |
| 2 | -3.445 | 0.200 |
| 3 | -6.062 | 0.000 |
| 4 | -2.319 | 0.000 |
| 5 | -5.562 | 0.000 |
| 6 | -1.801 | 0.000 |
| 7 | -5.122 | 0.000 |
| 8 | -7.430 | 0.000 |
| 9 | -2.562 | 0.000 |
| 10 | -5.300 | 0.000 |
| 11 | -4.207 | 0.000 |
| 12 | -1.621 | 0.000 |